DFT (PBE) results for a relaxed NaLiErTl crystal.

```
data_NaLiErTl
_chemical_formula_sum 'Na4 Li4 Er4 Tl4'
_space_group_name_H-M_alt 'F -4 3 m'
_space_group_IT_number 216
_space_group_name_Hall 'F -4 2 3'
_cell_length_a 7.353
_cell_length_b 7.353
_cell_length_c 7.353
_cell_angle_alpha 90.00
_cell_angle_beta 90.00
_cell_angle_gamma 90.00
loop_
_atom_site_label
_atom_site_type_symbol
_atom_site_fract_x
_atom_site_fract_y
_atom_site_fract_z
Na1 Na 0.000 0.000 0.000
Li1 Li 0.250 0.250 0.750
Er1 Er 0.000 0.000 0.500
Tl1 Tl 0.250 0.250 0.250
```

Summary:
**Density of states at the Fermi level**: 0.75 states/eV per atom
**ΔH_f (0 K)**: -0.056 eV per atom

DFT (PBE) results for a relaxed Rb4SeO crystal.

```
data_Rb4SeO
_chemical_formula_sum 'Rb16 Se4 O4'
_space_group_name_H-M_alt 'C 1 2/m 1'
_space_group_IT_number 12
_cell_length_a 15.384
_cell_length_b 7.829
_cell_length_c 7.184
_cell_angle_alpha 90.00
_cell_angle_beta 100.07
_cell_angle_gamma 90.00
loop_
_space_group_symop_operation_xyz
'x,y,z'
'-x,-y,-z'
'-x,y,-z'
'x,-y,z'
'x+1/2,y+1/2,z'
'-x+1/2,-y+1/2,-z'
'-x+1/2,y+1/2,-z'
'x+1/2,-y+1/2,z'
loop_
_atom_site_label
_atom_site_type_symbol
_atom_site_fract_x
_atom_site_fract_y
_atom_site_fract_z
Rb1 Rb 0.000 0.248 0.000
Rb2 Rb 0.112 0.211 0.553
Rb3 Rb 0.198 0.000 0.147
Se1 Se 0.191 0.500 0.243
O1 O 0.034 0.000 0.274
```

Summary:
**E_form (uncorrected)**: -0.92 eV per atom
**Energy above the most stable polymorph in this dataset**: 19 meV per atom

DFT (PBE) results for a relaxed BaCoTe4 crystal.

```
data_BaCoTe4
_chemical_formula_sum 'Ba4 Co4 Te16'
_space_group_name_H-M_alt 'F -4 3 m'
_space_group_IT_number 216
_space_group_name_Hall 'F -4 2 3'
_cell_length_a 9.165
_cell_length_b 9.165
_cell_length_c 9.165
_cell_angle_alpha 90.00
_cell_angle_beta 90.00
_cell_angle_gamma 90.00
loop_
_atom_site_label
_atom_site_type_symbol
_atom_site_fract_x
_atom_site_fract_y
_atom_site_fract_z
Ba1 Ba 0.000 0.000 0.000
Co1 Co 0.250 0.250 0.750
Te1 Te 0.124 0.124 0.376
```

Summary:
**Density of states at the Fermi level**: 0.95 states/eV per atom
**E_form (uncorrected)**: 0.21 eV per atom

DFT (PBE) results for a relaxed LiNd5Cd4 crystal.

```
data_LiNd5Cd4
_chemical_formula_sum 'Li1 Nd5 Cd4'
_space_group_name_H-M_alt 'P 4/m m m'
_space_group_IT_number 123
_space_group_name_Hall '-P 4 2'
_cell_length_a 3.871
_cell_length_b 3.871
_cell_length_c 19.052
_cell_angle_alpha 90.00
_cell_angle_beta 90.00
_cell_angle_gamma 90.00
loop_
_atom_site_label
_atom_site_type_symbol
_atom_site_fract_x
_atom_site_fract_y
_atom_site_fract_z
Li1 Li 0.000 0.000 0.000
Nd1 Nd 0.500 0.500 0.100
Nd2 Nd 0.500 0.500 0.299
Nd3 Nd 0.500 0.500 0.500
Cd1 Cd 0.000 0.000 0.197
Cd2 Cd 0.000 0.000 0.399
```

Summary:
**Density of states at the Fermi level**: 1.18 states/eV per atom
**ΔH_f (0 K)**: -0.237 eV per atom

VASP energy values (in Ry per atom) by entry order: -0.1908; -0.2188; -0.2491; -0.2336.